ScOs3Se: optimized geometry, PBE-GGA. Values from VASP.

The structure in Quantum ESPRESSO input format:
```
&SYSTEM
  ibrav = 0, nat = 5, ntyp = 3
/
ATOMIC_SPECIES
Sc 44.96 Sc.upf
Os 190.23 Os.upf
Se 78.96 Se.upf
CELL_PARAMETERS angstrom
4.5343 0.0000 0.0000
0.0000 4.5343 0.0000
0.0000 0.0000 4.5343
ATOMIC_POSITIONS crystal
Sc 0.0000 0.0000 0.0000
Os 0.0000 0.5000 0.5000
Os 0.5000 0.0000 0.5000
Os 0.5000 0.5000 0.0000
Se 0.5000 0.5000 0.5000
```

Values from the calculation:
The uncorrected formation energy is 522 kJ/mol of formula units. The calculation puts the energy above the most stable polymorph in this dataset at 0.0 kJ per mole of atoms.

ScOs2Se: optimized geometry, PBE-GGA. Values from VASP.

The structure in Quantum ESPRESSO input format:
```
&SYSTEM
  ibrav = 0, nat = 4, ntyp = 3
/
ATOMIC_SPECIES
Sc 44.96 Sc.upf
Os 190.23 Os.upf
Se 78.96 Se.upf
CELL_PARAMETERS angstrom
3.1040 0.0000 0.0000
0.0000 4.1929 0.0000
0.0000 0.0000 5.1332
ATOMIC_POSITIONS crystal
Sc 0.0000 0.0000 0.0000
Os 0.5000 0.5000 0.2421
Os 0.5000 0.5000 0.7579
Se 0.0000 0.0000 0.5000
```

Values from the calculation:
The uncorrected formation energy is 93 kJ/mol of formula units.

Sc3OsSe: optimized geometry, PBE-GGA. Values from VASP.

The structure in Quantum ESPRESSO input format:
```
&SYSTEM
  ibrav = 0, nat = 5, ntyp = 3
/
ATOMIC_SPECIES
Sc 44.96 Sc.upf
Os 190.23 Os.upf
Se 78.96 Se.upf
CELL_PARAMETERS angstrom
4.8354 0.0000 0.0000
0.0000 4.8354 0.0000
0.0000 0.0000 4.8354
ATOMIC_POSITIONS crystal
Sc 0.0000 0.0000 0.5000
Sc 0.0000 0.5000 0.0000
Sc 0.5000 0.0000 0.0000
Os 0.5000 0.5000 0.5000
Se 0.0000 0.0000 0.0000
```

Values from the calculation:
The uncorrected formation energy is 64 kJ/mol of formula units. The calculation puts the energy above the most stable polymorph in this dataset at 30.2 kJ per mole of atoms.

ScOsSe2: optimized geometry, PBE-GGA. Values from VASP.

The structure in Quantum ESPRESSO input format:
```
&SYSTEM
  ibrav = 0, nat = 4, ntyp = 3
/
ATOMIC_SPECIES
Sc 44.96 Sc.upf
Os 190.23 Os.upf
Se 78.96 Se.upf
CELL_PARAMETERS angstrom
-1.8443 1.8443 5.3227
1.8443 -1.8443 5.3227
1.8443 1.8443 -5.3227
ATOMIC_POSITIONS crystal
Sc 0.0000 0.0000 0.0000
Os 0.7500 0.2500 0.5000
Se 0.2500 0.7500 0.5000
Se 0.5000 0.5000 0.0000
```

Values from the calculation:
The uncorrected formation energy is -28 kJ/mol of formula units. The calculation puts the energy above the most stable polymorph in this dataset at 49.9 kJ per mole of atoms.

ScOsSe2: optimized geometry, PBE-GGA. Values from VASP.

The structure in Quantum ESPRESSO input format:
```
&SYSTEM
  ibrav = 0, nat = 4, ntyp = 3
/
ATOMIC_SPECIES
Sc 44.96 Sc.upf
Os 190.23 Os.upf
Se 78.96 Se.upf
CELL_PARAMETERS angstrom
2.8816 -3.4086 0.0000
2.8816 3.4086 0.0000
0.0000 0.0000 3.9587
ATOMIC_POSITIONS crystal
Sc 0.0000 0.0000 0.0000
Os 0.5000 0.5000 0.0000
Se 0.2834 0.7166 0.5000
Se 0.7166 0.2834 0.5000
```

Values from the calculation:
The uncorrected formation energy is -98 kJ/mol of formula units. The calculation puts the energy above the most stable polymorph in this dataset at 32.4 kJ per mole of atoms.

ScOs2Se: optimized geometry, PBE-GGA. Values from VASP.

The structure in Quantum ESPRESSO input format:
```
&SYSTEM
  ibrav = 0, nat = 4, ntyp = 3
/
ATOMIC_SPECIES
Sc 44.96 Sc.upf
Os 190.23 Os.upf
Se 78.96 Se.upf
CELL_PARAMETERS angstrom
-1.5419 2.2721 4.5893
1.5419 -2.2721 4.5893
1.5419 2.2721 -4.5893
ATOMIC_POSITIONS crystal
Sc 0.0000 0.0000 0.0000
Os 0.4794 0.4794 0.0000
Os 0.7215 0.2215 0.5000
Se 0.2557 0.7557 0.5000
```

Values from the calculation:
The uncorrected formation energy is 47 kJ/mol of formula units.

ScOsSe2: optimized geometry, PBE-GGA. Values from VASP.

The structure in Quantum ESPRESSO input format:
```
&SYSTEM
  ibrav = 0, nat = 4, ntyp = 3
/
ATOMIC_SPECIES
Sc 44.96 Sc.upf
Os 190.23 Os.upf
Se 78.96 Se.upf
CELL_PARAMETERS angstrom
3.4031 0.0000 0.0000
0.0000 3.7271 0.0000
0.0000 0.0000 5.7123
ATOMIC_POSITIONS crystal
Sc 0.0000 0.0000 0.0000
Os 0.5000 0.5000 0.6607
Se 0.0000 0.0000 0.5394
Se 0.5000 0.5000 0.1559
```

Values from the calculation:
The uncorrected formation energy is -166 kJ/mol of formula units. The calculation puts the energy above the most stable polymorph in this dataset at 15.2 kJ per mole of atoms.

ScOs2Se: optimized geometry, PBE-GGA. Values from VASP.

The structure in Quantum ESPRESSO input format:
```
&SYSTEM
  ibrav = 0, nat = 4, ntyp = 3
/
ATOMIC_SPECIES
Sc 44.96 Sc.upf
Os 190.23 Os.upf
Se 78.96 Se.upf
CELL_PARAMETERS angstrom
1.4963 0.8639 8.5680
-1.4963 0.8639 8.5680
0.0000 -1.7278 8.5680
ATOMIC_POSITIONS crystal
Sc 0.0000 0.0000 0.0000
Os 0.2468 0.2468 0.2468
Os 0.5028 0.5028 0.5028
Se 0.7507 0.7507 0.7507
```

Values from the calculation:
The uncorrected formation energy is 94 kJ/mol of formula units.

ScOs2Se: optimized geometry, PBE-GGA. Values from VASP.

The structure in Quantum ESPRESSO input format:
```
&SYSTEM
  ibrav = 0, nat = 4, ntyp = 3
/
ATOMIC_SPECIES
Sc 44.96 Sc.upf
Os 190.23 Os.upf
Se 78.96 Se.upf
CELL_PARAMETERS angstrom
-1.9247 1.9247 4.2879
1.9247 -1.9247 4.2879
1.9247 1.9247 -4.2879
ATOMIC_POSITIONS crystal
Sc 0.0000 0.0000 0.0000
Os 0.5000 0.5000 0.0000
Os 0.7500 0.2500 0.5000
Se 0.2500 0.7500 0.5000
```

Values from the calculation:
The uncorrected formation energy is 93 kJ/mol of formula units.

ScOsSe2: optimized geometry, PBE-GGA. Values from VASP.

The structure in Quantum ESPRESSO input format:
```
&SYSTEM
  ibrav = 0, nat = 4, ntyp = 3
/
ATOMIC_SPECIES
Sc 44.96 Sc.upf
Os 190.23 Os.upf
Se 78.96 Se.upf
CELL_PARAMETERS angstrom
3.3621 0.0000 0.0000
0.0000 3.9184 0.0000
0.0000 0.0000 5.7603
ATOMIC_POSITIONS crystal
Sc 0.0000 0.0000 0.0000
Os 0.5000 0.0000 0.5000
Se 0.0000 0.5000 0.5000
Se 0.5000 0.5000 0.0000
```

Values from the calculation:
The uncorrected formation energy is -8 kJ/mol of formula units. The calculation puts the energy above the most stable polymorph in this dataset at 54.8 kJ per mole of atoms.

ScOs4Se: optimized geometry, PBE-GGA. Values from VASP.

The structure in Quantum ESPRESSO input format:
```
&SYSTEM
  ibrav = 0, nat = 6, ntyp = 3
/
ATOMIC_SPECIES
Sc 44.96 Sc.upf
Os 190.23 Os.upf
Se 78.96 Se.upf
CELL_PARAMETERS angstrom
0.0000 3.6995 3.6995
3.6995 0.0000 3.6995
3.6995 3.6995 0.0000
ATOMIC_POSITIONS crystal
Sc 0.0000 0.0000 0.0000
Os 0.3749 0.3749 0.3749
Os 0.3749 0.3749 0.8752
Os 0.3749 0.8752 0.3749
Os 0.8752 0.3749 0.3749
Se 0.7500 0.7500 0.7500
```

Values from the calculation:
The uncorrected formation energy is 279 kJ/mol of formula units.

ScOsSe3: optimized geometry, PBE-GGA. Values from VASP.

The structure in Quantum ESPRESSO input format:
```
&SYSTEM
  ibrav = 0, nat = 5, ntyp = 3
/
ATOMIC_SPECIES
Sc 44.96 Sc.upf
Os 190.23 Os.upf
Se 78.96 Se.upf
CELL_PARAMETERS angstrom
5.0704 0.0000 0.0000
0.0000 5.0704 0.0000
0.0000 0.0000 5.0704
ATOMIC_POSITIONS crystal
Sc 0.0000 0.0000 0.0000
Os 0.5000 0.5000 0.5000
Se 0.0000 0.0000 0.5000
Se 0.0000 0.5000 0.0000
Se 0.5000 0.0000 0.0000
```

Values from the calculation:
The uncorrected formation energy is 376 kJ/mol of formula units. The calculation puts the energy above the most stable polymorph in this dataset at 55.9 kJ per mole of atoms.

ScOs2Se: optimized geometry, PBE-GGA. Values from VASP.

The structure in Quantum ESPRESSO input format:
```
&SYSTEM
  ibrav = 0, nat = 4, ntyp = 3
/
ATOMIC_SPECIES
Sc 44.96 Sc.upf
Os 190.23 Os.upf
Se 78.96 Se.upf
CELL_PARAMETERS angstrom
0.0000 3.2003 3.2003
3.2003 0.0000 3.2003
3.2003 3.2003 0.0000
ATOMIC_POSITIONS crystal
Sc 0.0000 0.0000 0.0000
Os 0.2500 0.2500 0.2500
Os 0.5000 0.5000 0.5000
Se 0.7500 0.7500 0.7500
```

Values from the calculation:
The uncorrected formation energy is 155 kJ/mol of formula units.

ScOsSe2: optimized geometry, PBE-GGA. Values from VASP.

The structure in Quantum ESPRESSO input format:
```
&SYSTEM
  ibrav = 0, nat = 4, ntyp = 3
/
ATOMIC_SPECIES
Sc 44.96 Sc.upf
Os 190.23 Os.upf
Se 78.96 Se.upf
CELL_PARAMETERS angstrom
2.0023 1.1560 5.2782
-2.0023 1.1560 5.2782
0.0000 -2.3120 5.2782
ATOMIC_POSITIONS crystal
Sc 0.0000 0.0000 0.0000
Os 0.5000 0.5000 0.5000
Se 0.2372 0.2372 0.2372
Se 0.7628 0.7628 0.7628
```

Values from the calculation:
The uncorrected formation energy is -148 kJ/mol of formula units. The calculation puts the energy above the most stable polymorph in this dataset at 19.8 kJ per mole of atoms.

ScOs2Se: optimized geometry, PBE-GGA. Values from VASP.

The structure in Quantum ESPRESSO input format:
```
&SYSTEM
  ibrav = 0, nat = 4, ntyp = 3
/
ATOMIC_SPECIES
Sc 44.96 Sc.upf
Os 190.23 Os.upf
Se 78.96 Se.upf
CELL_PARAMETERS angstrom
1.4988 0.8653 8.4359
-1.4988 0.8653 8.4359
0.0000 -1.7306 8.4359
ATOMIC_POSITIONS crystal
Sc 0.0000 0.0000 0.0000
Os 0.2464 0.2464 0.2464
Os 0.7536 0.7536 0.7536
Se 0.5000 0.5000 0.5000
```

Values from the calculation:
The uncorrected formation energy is 124 kJ/mol of formula units.

no.,total magnetization (μB/atom)
1,0.000
2,0.000
3,0.000
4,0.000
5,0.000
6,0.000
7,0.000
8,0.000
9,0.000
10,0.000
11,0.000
12,0.714
13,0.000
14,0.000
15,0.000